(1)
Below is a geometry-optimized CaTcMo2 structure, with properties calculated at the GGA-PBE level.

Cell lengths 4.8308, 4.8308, 17.3224 Å; angles 90.00, 90.00, 90.00 degrees
Fractional positions:
1 Ca 0.0000 0.0000 0.0000
2 Ca 0.0000 0.5000 0.2500
3 Ca 0.5000 0.0000 0.7500
4 Ca 0.5000 0.5000 0.5000
5 Tc 0.0000 0.0000 0.5000
6 Tc 0.0000 0.5000 0.7500
7 Tc 0.5000 0.0000 0.2500
8 Tc 0.5000 0.5000 0.0000
9 Mo 0.0231 0.2500 0.6250
10 Mo 0.2500 0.5231 0.8750
11 Mo 0.2500 0.9769 0.3750
12 Mo 0.4769 0.2500 0.1250
13 Mo 0.5231 0.7500 0.1250
14 Mo 0.7500 0.0231 0.3750
15 Mo 0.7500 0.4769 0.8750
16 Mo 0.9769 0.7500 0.6250

Properties
space-group type = I-42d, No. 122
uncorrected energy = -7.31 eV/atom
energy above the lowest structure with this stoichiometry = 0.7558 eV per atom
ΔH_f (0 K) = 1.19 eV per atom
crystal system = tetragonal
N(E_F) = 17.243 states/eV per cell

***

(2)
Below is a geometry-optimized CaTcMo2 structure, with properties calculated at the GGA-PBE level.

Cell lengths 3.1826, 3.1826, 7.4055 Å; angles 90.00, 90.00, 90.00 degrees
Fractional positions:
1 Ca 0.0000 0.0000 0.0000
2 Tc 0.5000 0.5000 0.7028
3 Mo 0.0000 0.0000 0.5143
4 Mo 0.5000 0.5000 0.3139

Properties
space-group type = P4mm, No. 99
uncorrected energy = -8.07 eV/atom
energy above the lowest structure with this stoichiometry = 0.0000 eV per atom
ΔH_f (0 K) = 0.44 eV per atom
crystal system = tetragonal
N(E_F) = 5.707 states/eV per cell

***

(3)
Below is a geometry-optimized Ca2TcMo structure, with properties calculated at the GGA-PBE level.

Cell lengths 3.5659, 5.3747, 9.9845 Å; angles 90.00, 90.00, 90.00 degrees
Fractional positions:
1 Ca 0.0000 0.0000 0.0000
2 Ca 0.0000 0.5000 0.2099
3 Ca 0.5000 0.0000 0.7099
4 Ca 0.5000 0.5000 0.5000
5 Tc 0.0000 0.0000 0.4413
6 Tc 0.5000 0.5000 0.9413
7 Mo 0.0000 0.5000 0.7868
8 Mo 0.5000 0.0000 0.2868

Properties
space-group type = Imm2, No. 44
uncorrected energy = -5.91 eV/atom
energy above the lowest structure with this stoichiometry = 0.1257 eV per atom
ΔH_f (0 K) = 0.39 eV per atom
crystal system = orthorhombic
N(E_F) = 6.180 states/eV per cell

***

(4)
Below is a geometry-optimized Ca2TcMo structure, with properties calculated at the GGA-PBE level.

Cell lengths 2.8183, 5.0682, 5.6108 Å; angles 90.00, 90.16, 90.00 degrees
Fractional positions:
1 Ca 0.0009 0.0000 0.2525
2 Ca 0.9991 0.0000 0.7475
3 Tc 0.5000 0.5000 0.5000
4 Mo 0.5000 0.5000 0.0000

Properties
space-group type = P2/m, No. 10
uncorrected energy = -5.53 eV/atom
energy above the lowest structure with this stoichiometry = 0.5081 eV per atom
ΔH_f (0 K) = 0.77 eV per atom
crystal system = monoclinic
N(E_F) = 2.536 states/eV per cell

***

(5)
Below is a geometry-optimized CaTcMo structure, with properties calculated at the GGA-PBE level.

Cell lengths 4.7392, 4.7392, 2.7625 Å; angles 90.00, 90.00, 120.00 degrees
Fractional positions:
1 Ca 0.0000 0.0000 0.0000
2 Tc 0.3333 0.6667 0.6241
3 Mo 0.6667 0.3333 0.3803

Properties
space-group type = P3m1, No. 156
uncorrected energy = -7.12 eV/atom
energy above the lowest structure with this stoichiometry = 0.2778 eV per atom
ΔH_f (0 K) = 0.61 eV per atom
crystal system = trigonal
N(E_F) = 2.959 states/eV per cell

***

(6)
Below is a geometry-optimized Ca2TcMo structure, with properties calculated at the GGA-PBE level.

Cell lengths 11.1553, 3.6047, 4.3492 Å; angles 90.00, 112.84, 90.00 degrees
Fractional positions:
1 Ca 0.2325 0.0000 0.2325
2 Ca 0.2675 0.5000 0.7675
3 Ca 0.7325 0.5000 0.2325
4 Ca 0.7675 0.0000 0.7675
5 Tc 0.0000 0.5000 0.0000
6 Tc 0.5000 0.0000 0.0000
7 Mo 0.0000 0.0000 0.5000
8 Mo 0.5000 0.5000 0.5000

Properties
space-group type = C2/m, No. 12
uncorrected energy = -5.54 eV/atom
energy above the lowest structure with this stoichiometry = 0.4987 eV per atom
ΔH_f (0 K) = 0.76 eV per atom
crystal system = monoclinic
N(E_F) = 5.296 states/eV per cell

***

(7)
Below is a geometry-optimized CaTcMo2 structure, with properties calculated at the GGA-PBE level.

Cell lengths 3.1546, 3.1546, 7.5758 Å; angles 90.00, 90.00, 90.00 degrees
Fractional positions:
1 Ca 0.0000 0.0000 0.0000
2 Tc 0.0000 0.0000 0.5000
3 Mo 0.5000 0.5000 0.3080
4 Mo 0.5000 0.5000 0.6920

Properties
space-group type = P4/mmm, No. 123
uncorrected energy = -7.97 eV/atom
energy above the lowest structure with this stoichiometry = 0.1013 eV per atom
ΔH_f (0 K) = 0.54 eV per atom
crystal system = tetragonal
N(E_F) = 5.541 states/eV per cell

***

(8)
Below is a geometry-optimized CaTi2TcMo structure, with properties calculated at the GGA-PBE level.

Cell lengths 4.6619, 4.6619, 5.1947 Å; angles 90.00, 90.00, 90.00 degrees
Fractional positions:
1 Ca 0.0000 0.0000 0.0000
2 Ti 0.0000 0.5000 0.5000
3 Ti 0.5000 0.0000 0.5000
4 Tc 0.5000 0.5000 0.0000
5 Mo 0.0000 0.0000 0.5000

Properties
space-group type = P4/mmm, No. 123
uncorrected energy = -6.50 eV/atom
ΔH_f (0 K) = 1.29 eV per atom
crystal system = tetragonal
N(E_F) = 5.748 states/eV per cell

***

(9)
Below is a geometry-optimized Ca2TeMo structure, with properties calculated at the GGA-PBE level.

Cell lengths 4.4829, 4.4829, 10.9595 Å; angles 90.00, 90.00, 90.00 degrees
Fractional positions:
1 Ca 0.0000 0.0000 0.0000
2 Ca 0.0000 0.5000 0.2500
3 Ca 0.5000 0.0000 0.7500
4 Ca 0.5000 0.5000 0.5000
5 Te 0.0000 0.0000 0.5000
6 Te 0.5000 0.5000 0.0000
7 Mo 0.0000 0.5000 0.7500
8 Mo 0.5000 0.0000 0.2500

Properties
space-group type = I-4m2, No. 119
uncorrected energy = -4.33 eV/atom
ΔE_f (raw) = 165 meV per atom
crystal system = tetragonal
N(E_F) = 2.434 states/eV per cell

***

(10)
Below is a geometry-optimized Ca2TeMo structure, with properties calculated at the GGA-PBE level.

Cell lengths 11.8219, 3.6128, 5.3554 Å; angles 90.00, 109.52, 90.00 degrees
Fractional positions:
1 Ca 0.0000 0.0000 0.0000
2 Ca 0.2074 0.0000 0.6464
3 Ca 0.5000 0.5000 0.0000
4 Ca 0.7074 0.5000 0.6464
5 Te 0.2658 0.5000 0.1905
6 Te 0.7658 0.0000 0.1905
7 Mo 0.4398 0.0000 0.4535
8 Mo 0.9398 0.5000 0.4535

Properties
space-group type = Cm, No. 8
uncorrected energy = -4.46 eV/atom
ΔE_f (raw) = 35 meV per atom
crystal system = monoclinic
N(E_F) = 4.691 states/eV per cell

***

(11)
Below is a geometry-optimized Ca2TeMo structure, with properties calculated at the GGA-PBE level.

Cell lengths 5.1577, 5.1577, 4.0181 Å; angles 90.00, 90.00, 90.00 degrees
Fractional positions:
1 Ca 0.0000 0.5000 0.0000
2 Ca 0.5000 0.0000 0.0000
3 Te 0.0000 0.0000 0.5000
4 Mo 0.5000 0.5000 0.5000

Properties
space-group type = P4/mmm, No. 123
uncorrected energy = -4.37 eV/atom
ΔE_f (raw) = 125 meV per atom
crystal system = tetragonal
N(E_F) = 3.080 states/eV per cell

***

(12)
Below is a geometry-optimized Ca2TeMo structure, with properties calculated at the GGA-PBE level.

Cell lengths 3.5825, 3.5825, 8.5829 Å; angles 90.00, 90.00, 90.00 degrees
Fractional positions:
1 Ca 0.0000 0.0000 0.0000
2 Ca 0.5000 0.5000 0.3712
3 Te 0.5000 0.5000 0.7495
4 Mo 0.0000 0.0000 0.6178

Properties
space-group type = P4mm, No. 99
uncorrected energy = -4.51 eV/atom
ΔE_f (raw) = -14 meV per atom
crystal system = tetragonal
N(E_F) = 3.787 states/eV per cell

***

(13)
Below is a geometry-optimized Ca2TeMo structure, with properties calculated at the GGA-PBE level.

Cell lengths 4.5884, 4.5884, 9.5631 Å; angles 90.00, 90.00, 90.00 degrees
Fractional positions:
1 Ca 0.0000 0.5000 0.2500
2 Ca 0.0000 0.5000 0.7500
3 Ca 0.5000 0.0000 0.2500
4 Ca 0.5000 0.0000 0.7500
5 Te 0.0000 0.0000 0.0000
6 Te 0.5000 0.5000 0.5000
7 Mo 0.0000 0.0000 0.5000
8 Mo 0.5000 0.5000 0.0000

Properties
space-group type = I4/mmm, No. 139
uncorrected energy = -4.26 eV/atom
ΔE_f (raw) = 230 meV per atom
crystal system = tetragonal
N(E_F) = 8.919 states/eV per cell

***

(14)
Below is a geometry-optimized Ca4TeMo structure, with properties calculated at the GGA-PBE level.

Cell lengths 6.5725, 6.5725, 6.5725 Å; angles 60.00, 60.00, 60.00 degrees
Fractional positions:
1 Ca 0.1243 0.1243 0.1243
2 Ca 0.1243 0.1243 0.6270
3 Ca 0.1243 0.6270 0.1243
4 Ca 0.6270 0.1243 0.1243
5 Te 0.5000 0.5000 0.5000
6 Mo 0.7500 0.7500 0.7500

Properties
space-group type = F-43m, No. 216
uncorrected energy = -3.03 eV/atom
ΔE_f (raw) = 636 meV per atom
crystal system = cubic
N(E_F) = 4.602 states/eV per cell

***

(15)
Below is a geometry-optimized Ca2TeMo structure, with properties calculated at the GGA-PBE level.

Cell lengths 3.9234, 3.9234, 6.9753 Å; angles 90.00, 90.00, 90.00 degrees
Fractional positions:
1 Ca 0.0000 0.0000 0.2490
2 Ca 0.0000 0.0000 0.7510
3 Te 0.5000 0.5000 0.5000
4 Mo 0.5000 0.5000 0.0000

Properties
space-group type = P4/mmm, No. 123
uncorrected energy = -4.48 eV/atom
ΔE_f (raw) = 17 meV per atom
crystal system = tetragonal
N(E_F) = 2.744 states/eV per cell